VASP calculation (PBE+U) on a geometry-optimized Li3Ni3O3F5 structure.

Results
space-group type	Cm (8)
raw total energy	-4.6192	eV per atom
density of states at the Fermi level	0.04	states/eV/cell

a = 5.9632 Å, b = 5.9632 Å, c = 5.8657 Å
α = 119.25°, β = 119.25°, γ = 57.15°
Sites, in units of the cell vectors:
Li: 0.0000 0.0000 0.0000
Li: 0.3558 0.3558 0.0984
Li: 0.6184 0.6184 0.8892
Ni: 0.4865 0.9931 0.4835
Ni: 0.9892 0.9892 0.4867
Ni: 0.9931 0.4865 0.4835
O: 0.2211 0.2211 0.6772
O: 0.2327 0.2327 0.2657
O: 0.7588 0.7588 0.2919
F: 0.2234 0.7431 0.7404
F: 0.2410 0.7494 0.2404
F: 0.7431 0.2234 0.7404
F: 0.7441 0.7441 0.7222
F: 0.7494 0.2410 0.2404